1.
This record from the Alexandria database describes a relaxed FeAgOs2 crystal. The functional is GGA-PBE.

a = 2.7529 Å, b = 4.6126 Å, c = 4.6795 Å
α = 90.00°, β = 90.00°, γ = 90.00°
Element x y z (fractional)
Ag 0.5000 0.0000 0.5000
Fe 0.0000 0.5000 0.5000
Os 0.0000 0.0000 0.0000
Os 0.5000 0.5000 0.0000

ΔE_f   0.69 eV/atom
Space-group type   Pmmm
Total moment   3.18 μB/f.u.
Excess energy over the best structure of this formula in the dataset   336.5 meV/atom



2.
This record from the Alexandria database describes a relaxed SmEr2Tl3 crystal. The functional is GGA-PBE.

a = 3.6902 Å, b = 3.6902 Å, c = 12.1029 Å
α = 90.00°, β = 90.00°, γ = 90.00°
Element x y z (fractional)
Sm 0.5000 0.5000 0.5000
Er 0.5000 0.5000 0.8366
Er 0.5000 0.5000 0.1634
Tl 0.0000 0.0000 0.0000
Tl 0.0000 0.0000 0.6738
Tl 0.0000 0.0000 0.3262

ΔE_f   -0.34 eV/atom
Space-group type   P4/mmm
Total moment   0.00 μB/f.u.